Material: Ac3ZnNi
Method: DFT, PBE
State: relaxed

Structure (POSCAR):
```
Ac3ZnNi
1.0
8.5609 -2.0761 0.0000
8.5609 2.0761 0.0000
-0.6844 0.0000 9.0034
Ac Zn Ni
6 2 2
Cartesian
0.0000 0.0000 0.0000
2.3612 0.0000 3.1218
6.0978 0.0000 2.3239
8.4571 0.0000 5.4403
11.3783 0.0000 8.9564
13.5155 0.0000 5.4949
2.3794 0.0000 6.4946
5.3901 0.0000 7.9573
9.0871 0.0000 2.1728
16.4970 0.0000 3.2588
```

The formation energy is -197.0 meV/atom. For the total DFT energy (no corrections), the calculation gives -4.0731 eV per atom. Its space group is Cm (8).



Material: VPbC2
Method: DFT, PBE
State: relaxed

Structure (POSCAR):
```
VPbC2
1.0
-2.5685 2.5685 4.7673
2.5685 -2.5685 4.7673
2.5685 2.5685 -4.7673
V Pb C
2 2 4
Cartesian
0.0000 0.0000 0.0000
0.0000 2.5685 2.3836
2.5685 0.0000 2.3836
0.0000 0.0000 4.7673
3.8528 0.8444 -1.1918
0.8444 1.2843 1.1918
-1.2843 1.7241 3.5755
1.7241 1.2843 5.9591
```

The formation energy is 888.1 meV/atom. For the total DFT energy (no corrections), the calculation gives -6.9306 eV per atom. Its space group is I-42d (122).



Material: Ni2Pt3
Method: DFT, PBE
State: relaxed

Structure (POSCAR):
```
Ni2Pt3
1.0
0.0000 6.6023 2.3373
4.5797 0.0000 2.3373
4.5797 6.6023 0.0000
Ni Pt
4 6
Cartesian
2.2980 0.6583 1.1686
4.5879 2.6428 2.3373
2.2817 5.9440 1.1686
4.5716 10.5618 2.3373
4.5797 6.6023 0.0047
2.2899 3.3011 1.1734
4.5661 5.2105 2.3407
4.5934 7.9941 2.3407
6.8833 8.5116 3.5093
6.8559 11.2953 3.5093
```

The formation energy is 4.0 meV/atom. For the total DFT energy (no corrections), the calculation gives -5.9330 eV per atom. Its space group is Fdd2 (43).



Among the records above, which one has the lowest formation energy?
Ac3ZnNi



Which of these has the highest formation energy?
VPbC2



Which of these has the highest formation energy?
VPbC2



Which of these has the highest formation energy?
VPbC2